(1)
# TmZr2B6 | Alexandria | GGA-PBE | optimized geometry
# N(E_F)   1.04 states/eV/cell
# Final energy   -0.284 Ha/atom
# Energy relative to the elements   -0.885 eV/atom
data_TmZr2B6
_chemical_formula_sum 'Tm1 Zr2 B6'
_cell_length_a 5.5451
_cell_length_b 5.5451
_cell_length_c 3.6199
_cell_angle_alpha 90.00
_cell_angle_beta 90.00
_cell_angle_gamma 120.00
_symmetry_space_group_name_H-M 'P 6/m m m'
_symmetry_Int_Tables_number 191
_symmetry_space_group_name_Hall '-P 6 2'
loop_
_atom_site_label
_atom_site_type_symbol
_atom_site_fract_x
_atom_site_fract_y
_atom_site_fract_z
Tm1 Tm 0.0000 0.0000 0.0000
Zr1 Zr 0.3333 0.6667 0.0000
B1 B 0.0000 0.3361 0.5000

(2)
# SbS2IN | Alexandria | GGA-PBE | optimized geometry
# Energy relative to the elements, uncorrected   0.9736 eV/atom
# N(E_F)   5.09 states/eV/cell
# Relative energy among the computed polymorphs   0 meV/atom
# Final energy   -0.128 Ha/atom
data_SbS2IN
_chemical_formula_sum 'Sb1 S2 I1 N1'
_cell_length_a 5.220
_cell_length_b 5.220
_cell_length_c 3.940
_cell_angle_alpha 90.00
_cell_angle_beta 90.00
_cell_angle_gamma 90.00
_symmetry_space_group_name_H-M 'P 4/m m m'
_symmetry_Int_Tables_number 123
_symmetry_space_group_name_Hall '-P 4 2'
loop_
_atom_site_label
_atom_site_type_symbol
_atom_site_fract_x
_atom_site_fract_y
_atom_site_fract_z
Sb1 Sb 0.000 0.000 0.000
S1 S 0.000 0.500 0.000
I1 I 0.500 0.500 0.500
N1 N 0.000 0.000 0.500

(3)
# ZrI3Br | Alexandria | GGA-PBE | optimized geometry
# Energy relative to the elements, uncorrected   0.8332 eV/atom
# N(E_F)   11.24 states/eV/cell
# Relative energy among the computed polymorphs   1795 meV/atom
# Final energy   -0.079 Ha/atom
data_ZrI3Br
_chemical_formula_sum 'Zr1 I3 Br1'
_cell_length_a 5.878
_cell_length_b 5.878
_cell_length_c 5.878
_cell_angle_alpha 90.00
_cell_angle_beta 90.00
_cell_angle_gamma 90.00
_symmetry_space_group_name_H-M 'P m -3 m'
_symmetry_Int_Tables_number 221
_symmetry_space_group_name_Hall '-P 4 2 3'
loop_
_atom_site_label
_atom_site_type_symbol
_atom_site_fract_x
_atom_site_fract_y
_atom_site_fract_z
Zr1 Zr 0.000 0.000 0.000
I1 I 0.000 0.500 0.500
Br1 Br 0.500 0.500 0.500

(4)
# NaCu2O3 | Alexandria | GGA-PBE | optimized geometry
# Energy relative to the elements, uncorrected   -0.8225 eV/atom
# N(E_F)   5.74 states/eV/cell
# Relative energy among the computed polymorphs   16 meV/atom
# Final energy   -0.180 Ha/atom
data_NaCu2O3
_chemical_formula_sum 'Na4 Cu8 O12'
_cell_length_a 6.113
_cell_length_b 8.465
_cell_length_c 5.858
_cell_angle_alpha 90.00
_cell_angle_beta 119.83
_cell_angle_gamma 90.00
_symmetry_space_group_name_H-M 'C 1 2/m 1'
_symmetry_Int_Tables_number 12
loop_
_symmetry_equiv_pos_as_xyz
'x,y,z'
'-x,-y,-z'
'-x,y,-z'
'x,-y,z'
'x+1/2,y+1/2,z'
'-x+1/2,-y+1/2,-z'
'-x+1/2,y+1/2,-z'
'x+1/2,-y+1/2,z'
loop_
_atom_site_label
_atom_site_type_symbol
_atom_site_fract_x
_atom_site_fract_y
_atom_site_fract_z
Na1 Na 0.000 0.164 0.000
Cu1 Cu 0.000 0.000 0.500
Cu2 Cu 0.000 0.332 0.500
Cu3 Cu 0.000 0.500 0.000
O1 O 0.135 0.500 0.756
O2 O 0.179 0.159 0.732

(5)
# NdHoIr2 | Alexandria | GGA-PBE | optimized geometry
# N(E_F)   2.21 states/eV/cell
# Relative energy among the computed polymorphs   0 meV/atom
# Final energy   -0.273 Ha/atom
# Energy relative to the elements   -0.675 eV/atom
data_NdHoIr2
_chemical_formula_sum 'Nd1 Ho1 Ir2'
_cell_length_a 3.393
_cell_length_b 3.393
_cell_length_c 7.302
_cell_angle_alpha 90.00
_cell_angle_beta 90.00
_cell_angle_gamma 90.00
_symmetry_space_group_name_H-M 'P 4/m m m'
_symmetry_Int_Tables_number 123
_symmetry_space_group_name_Hall '-P 4 2'
loop_
_atom_site_label
_atom_site_type_symbol
_atom_site_fract_x
_atom_site_fract_y
_atom_site_fract_z
Nd1 Nd 0.000 0.000 0.000
Ho1 Ho 0.000 0.000 0.500
Ir1 Ir 0.500 0.500 0.264

(6)
# NaSn2F6 | Alexandria | GGA-PBE | optimized geometry
# Energy relative to the elements, uncorrected   -2.3718 eV/atom
# N(E_F)   2.35 states/eV/cell
# Final energy   -0.171 Ha/atom
data_NaSn2F6
_chemical_formula_sum 'Na2 Sn4 F12'
_cell_length_a 6.040
_cell_length_b 6.067
_cell_length_c 10.636
_cell_angle_alpha 90.00
_cell_angle_beta 124.20
_cell_angle_gamma 90.00
_symmetry_space_group_name_H-M 'P 1 21/c 1'
_symmetry_Int_Tables_number 14
loop_
_symmetry_equiv_pos_as_xyz
'x,y,z'
'-x,-y,-z'
'-x,y+1/2,-z+1/2'
'x,-y+1/2,z+1/2'
loop_
_atom_site_label
_atom_site_type_symbol
_atom_site_fract_x
_atom_site_fract_y
_atom_site_fract_z
Na1 Na 0.000 0.000 0.000
Sn1 Sn 0.291 0.002 0.790
F1 F 0.011 0.704 0.315
F2 F 0.353 0.154 0.001
F3 F 0.377 0.708 0.683

(7)
# Pm4SiTc | Alexandria | GGA-PBE | optimized geometry
# Energy relative to the elements, uncorrected   -0.2337 eV/atom
# N(E_F)   24.63 states/eV/cell
# Final energy   -0.222 Ha/atom
data_Pm4SiTc
_chemical_formula_sum 'Pm16 Si4 Tc4'
_cell_length_a 9.060
_cell_length_b 13.368
_cell_length_c 6.434
_cell_angle_alpha 90.00
_cell_angle_beta 121.07
_cell_angle_gamma 90.00
_symmetry_space_group_name_H-M 'C 1 2/c 1'
_symmetry_Int_Tables_number 15
loop_
_symmetry_equiv_pos_as_xyz
'x,y,z'
'-x,-y,-z'
'-x,y,-z+1/2'
'x,-y,z+1/2'
'x+1/2,y+1/2,z'
'-x+1/2,-y+1/2,-z'
'-x+1/2,y+1/2,-z+1/2'
'x+1/2,-y+1/2,z+1/2'
loop_
_atom_site_label
_atom_site_type_symbol
_atom_site_fract_x
_atom_site_fract_y
_atom_site_fract_z
Pm1 Pm 0.124 0.178 0.087
Pm2 Pm 0.207 0.434 0.297
Si1 Si 0.000 0.371 0.750
Tc1 Tc 0.000 0.002 0.750

(8)
# Sc3Be | Alexandria | GGA-PBE | optimized geometry
# N(E_F)   8.71 states/eV/cell
# Relative energy among the computed polymorphs   123 meV/atom
# Final energy   -0.204 Ha/atom
# Energy relative to the elements   0.128 eV/atom
data_Sc3Be
_chemical_formula_sum 'Sc6 Be2'
_cell_length_a 4.670
_cell_length_b 6.094
_cell_length_c 5.612
_cell_angle_alpha 90.00
_cell_angle_beta 90.00
_cell_angle_gamma 90.00
_symmetry_space_group_name_H-M 'P m m n'
_symmetry_Int_Tables_number 59
loop_
_symmetry_equiv_pos_as_xyz
'x,y,z'
'-x,-y,-z'
'-x+1/2,-y+1/2,z'
'x+1/2,y+1/2,-z'
'x+1/2,-y,-z'
'-x+1/2,y,z'
'-x,y+1/2,-z'
'x,-y+1/2,z'
loop_
_atom_site_label
_atom_site_type_symbol
_atom_site_fract_x
_atom_site_fract_y
_atom_site_fract_z
Sc1 Sc 0.250 0.008 0.164
Sc2 Sc 0.250 0.250 0.620
Be1 Be 0.250 0.750 0.670